Entry 1:
Here is a relaxed VGe3 crystal from Alexandria via LeMat-Bulk. Energies are from PBE.

a b c (Å): 2.847 7.734 6.033
angles (deg): 90.00 90.00 90.00
Space group Imm2 (No. 44)
Symmetry-distinct sites (fractional):
V1 0.000 0.000 0.000 [2 per cell]
Ge1 0.000 0.315 0.789 [4 per cell]
Ge2 0.000 0.500 0.153 [2 per cell]

Computed properties:
Calculated volume (Å³/atom): 16.604
Calculated formation energy (eV/f.u.): -0.015


Entry 2:
Here is a relaxed Rb2LiAs2 crystal from Alexandria via LeMat-Bulk. Energies are from PBE.

a b c (Å): 5.079 5.079 14.141
angles (deg): 90.00 90.00 90.00
Space group I4/mmm (No. 139)
Symmetry-distinct sites (fractional):
Rb1 0.000 0.500 0.250 [4 per cell]
Li1 0.000 0.000 0.000 [2 per cell]
As1 0.000 0.000 0.416 [4 per cell]

Computed properties:
Calculated volume (Å³/atom): 36.483
Calculated formation energy (eV/f.u.): 0.131
Energy above the most stable polymorph in this dataset (eV per formula unit): 1.82